[1]
Below is Zr2NbHgO after structural relaxation, with properties calculated at the PBE level.

POSCAR file:
```
Zr2NbHgO
1.0
4.5762 0.0000 0.0000
0.0000 4.5762 0.0000
0.0000 0.0000 4.1970
Zr Nb Hg O
2 1 1 1
Cartesian
0.0000 2.2881 0.0000
2.2881 0.0000 0.0000
0.0000 0.0000 2.0985
2.2881 2.2881 2.0985
0.0000 0.0000 0.0000
```

Results
Volume   87.9 Å³/cell
Symmetry   P4/mmm
E_tot   -7.3970 eV/atom
Crystal system   tetragonal
Formation energy without anion corrections   -0.912 eV per atom


[2]
Below is NbHg3Os after structural relaxation, with properties calculated at the PBE level.

POSCAR file:
```
NbHg3Os
1.0
5.1687 0.0000 0.0000
0.0000 5.1687 0.0000
0.0000 0.0000 5.1687
Nb Hg Os
1 3 1
Cartesian
0.0000 0.0000 0.0000
0.0000 2.5844 2.5844
2.5844 0.0000 2.5844
2.5844 2.5844 0.0000
2.5844 2.5844 2.5844
```

Results
Volume   138.1 Å³/cell
Energy relative to the elements   1468 meV per atom
Symmetry   Pm-3m
E_tot   -2.9725 eV/atom
Crystal system   cubic
Relative energy among the computed polymorphs   0 meV per atom


[3]
Below is NbHgOs3 after structural relaxation, with properties calculated at the PBE level.

POSCAR file:
```
NbHgOs3
1.0
4.7830 0.0000 0.0000
0.0000 4.7830 0.0000
0.0000 0.0000 4.7830
Nb Hg Os
1 1 3
Cartesian
0.0000 0.0000 0.0000
2.3915 2.3915 2.3915
0.0000 0.0000 2.3915
0.0000 2.3915 0.0000
2.3915 0.0000 0.0000
```

Results
Volume   109.4 Å³/cell
Energy relative to the elements   2245 meV per atom
Symmetry   Pm-3m
E_tot   -6.5671 eV/atom
Crystal system   cubic
Relative energy among the computed polymorphs   0 meV per atom


- Look up the E_tot of the first one.
  -7.3970 eV/atom